[1]
Compound: Sm3DyIn
Source: Alexandria
Functional: PBE-GGA
Structure: relaxed

abc: 4.880 25.475 4.885
angles: 90.00 90.00 90.00
Space group Cmcm (No. 63)
Asymmetric unit:
Sm 0.000 0.053 0.250
Sm 0.000 0.249 0.250
Sm 0.000 0.447 0.250
Dy 0.000 0.151 0.750
In 0.000 0.347 0.750

## Properties
calculated density: 7.97 Mg/m³
energy of formation from the pure elements: -0.190 eV per atom
polymorph energy (0 for the lowest one): 0.000 eV per atom



[2]
Compound: LiRu2Cl8
Source: Alexandria
Functional: PBE-GGA
Structure: relaxed

abc: 4.855 8.121 8.130
angles: 119.90 90.00 90.00
Space group P-1 (No. 2)
Asymmetric unit:
Li 0.000 0.000 0.000
Ru 0.239 0.667 0.333
Cl 0.252 0.333 0.667
Cl 0.255 0.341 0.169
Cl 0.255 0.829 0.659
Cl 0.255 0.831 0.171

## Properties
calculated density: 2.94 Mg/m³
ΔE_f (raw): -414 kJ/mol of formula units
polymorph energy (0 for the lowest one): 0.095 eV per atom



[3]
Compound: BeNbCu
Source: Alexandria
Functional: PBE-GGA
Structure: relaxed

abc: 9.120 3.636 4.657
angles: 90.00 92.77 90.00
Space group Cm (No. 8)
Asymmetric unit:
Be 0.000 0.000 0.000
Be 0.063 0.500 0.235
Nb 0.294 0.000 0.988
Nb 0.362 0.500 0.479
Cu 0.070 0.500 0.752
Cu 0.149 0.000 0.459

## Properties
calculated density: 7.13 Mg/m³
energy of formation from the pure elements: -0.037 eV per atom
polymorph energy (0 for the lowest one): 0.045 eV per atom